The following is a PBE calculation of an optimized crystal structure of LaPrPdRu, from the Alexandria database.

Summary:
SG   F-43m
Calculated total energy   -6.46 eV per atom

Unit cell a=5.0996 b=5.0996 c=5.0996 alpha=60.00 beta=60.00 gamma=60.00
Closest atoms and distances in Å follow each position.
Fractional coordinates of all 4 atoms:
Ru1 0.7500 0.7500 0.7500  4 La 3.12, 4 Pr 3.12
La1 0.0000 0.0000 0.0000  4 Ru 3.12, 4 Pd 3.12
Pr1 0.5000 0.5000 0.5000  4 Ru 3.12, 4 Pd 3.12
Pd1 0.2500 0.2500 0.2500  4 La 3.12, 4 Pr 3.12

---

The following is a PBE calculation of an optimized crystal structure of YFeTe2As, from the Alexandria database.

Summary:
SG   P4/mmm
Calculated total energy   -5.11 eV per atom

Unit cell a=5.5807 b=4.3920 c=5.5807 alpha=90.00 beta=90.00 gamma=90.00
Closest atoms and distances in Å follow each position.
Fractional coordinates of all 5 atoms:
As1 0.0000 0.0000 0.0000  2 Fe 2.20
Y1 0.5000 0.5000 0.5000  8 Te 3.55, 4 Fe 3.95
Fe1 0.0000 0.5000 0.0000  2 As 2.20
Te1 0.5000 0.0000 0.0000  2 As 2.79
Te2 0.0000 0.0000 0.5000  2 As 2.79

---

The following is a PBE calculation of an optimized crystal structure of PmNd4Tm5, from the Alexandria database.

Summary:
SG   P4/mmm
Energy above the lowest structure with this stoichiometry   0.0 kJ per mole of atoms

Unit cell a=3.6020 b=3.6020 c=24.9806 alpha=90.00 beta=90.00 gamma=90.00
Closest atoms and distances in Å follow each position.
Fractional coordinates of all 10 atoms:
Tm1 0.5000 0.5000 0.9007  4 Pm 3.56, 4 Nd 3.57, 4 Tm 3.60
Nd1 0.0000 0.0000 0.1996  8 Tm 3.57, 4 Nd 3.60
Nd2 0.0000 0.0000 0.6001  8 Tm 3.57, 4 Nd 3.60
Pm1 0.0000 0.0000 0.0000  8 Tm 3.56, 4 Pm 3.60
Tm2 0.5000 0.5000 0.5000  8 Nd 3.57, 4 Tm 3.60
Tm3 0.5000 0.5000 0.0993  4 Pm 3.56, 4 Nd 3.57, 4 Tm 3.60
Tm4 0.5000 0.5000 0.2996  8 Nd 3.57, 4 Tm 3.60
Nd3 0.0000 0.0000 0.8004  8 Tm 3.57, 4 Nd 3.60
Tm5 0.5000 0.5000 0.7004  8 Nd 3.57, 4 Tm 3.60
Nd4 0.0000 0.0000 0.3999  8 Tm 3.57, 4 Nd 3.60

---

The following is a PBE calculation of an optimized crystal structure of VNiMo, from the Alexandria database.

Summary:
SG   Cmme
Energy above the lowest structure with this stoichiometry   7.1 kJ per mole of atoms

Unit cell a=3.1691 b=4.1574 c=12.2735 alpha=90.00 beta=90.00 gamma=90.00
Closest atoms and distances in Å follow each position.
Fractional coordinates of all 12 atoms:
Ni1 0.5000 0.2500 0.4251  6 Ni 2.43-2.61, 2 V 2.45
V1 0.0000 0.7500 0.7267  2 Ni 2.45, 4 V 2.61, 2 Mo 2.69
Mo1 0.5000 0.2500 0.0958  6 Mo 2.61-2.84, 2 V 2.69
Mo2 0.0000 0.2500 0.9042  6 Mo 2.61-2.84, 2 V 2.69
Mo3 0.5000 0.7500 0.9042  6 Mo 2.61-2.84, 2 V 2.69
Ni2 0.5000 0.7500 0.5749  6 Ni 2.43-2.61, 2 V 2.45
Ni3 0.0000 0.7500 0.4251  6 Ni 2.43-2.61, 2 V 2.45
V2 0.5000 0.7500 0.2733  2 Ni 2.45, 4 V 2.61, 2 Mo 2.69
V3 0.0000 0.2500 0.2733  2 Ni 2.45, 4 V 2.61, 2 Mo 2.69
Ni4 0.0000 0.2500 0.5749  6 Ni 2.43-2.61, 2 V 2.45
Mo4 0.0000 0.7500 0.0958  6 Mo 2.61-2.84, 2 V 2.69
V4 0.5000 0.2500 0.7267  2 Ni 2.45, 4 V 2.61, 2 Mo 2.69

---

The following is a PBE calculation of an optimized crystal structure of Ce5Bi2Pb2, from the Alexandria database.

Summary:
SG   Cmce
Energy above the lowest structure with this stoichiometry   2.6 kJ per mole of atoms

Unit cell a=8.5661 b=8.5097 c=9.1156 alpha=117.82 beta=90.00 gamma=90.00
Closest atoms and distances in Å follow each position.
Fractional coordinates of all 18 atoms:
Ce1 0.1652 0.1934 0.7229  3 Bi 3.23-3.45, 3 Pb 3.24-3.37
Ce2 0.3348 0.9705 0.2771  3 Bi 3.23-3.45, 3 Pb 3.24-3.37
Pb1 0.5000 0.2964 0.5928  7 Ce 3.24-3.37
Ce3 0.6652 0.3066 0.2771  3 Bi 3.23-3.45, 3 Pb 3.24-3.37
Ce4 0.1652 0.4705 0.2771  3 Bi 3.23-3.45, 3 Pb 3.24-3.37
Pb2 0.0000 0.2036 0.4072  7 Ce 3.24-3.37
Ce5 0.0000 0.0000 0.0000  2 Pb 3.28, 4 Bi 3.30
Ce6 0.8348 0.5295 0.7229  3 Bi 3.23-3.45, 3 Pb 3.24-3.37
Ce7 0.3348 0.6934 0.7229  3 Bi 3.23-3.45, 3 Pb 3.24-3.37
Bi1 0.6407 0.8612 0.0000  8 Ce 3.23-3.45, 1 Bi 3.38
Ce8 0.8348 0.8066 0.2771  3 Bi 3.23-3.45, 3 Pb 3.24-3.37
Pb3 0.0000 0.7964 0.5928  7 Ce 3.24-3.37
Pb4 0.5000 0.7036 0.4072  7 Ce 3.24-3.37
Ce9 0.5000 0.5000 0.0000  2 Pb 3.28, 4 Bi 3.30
Bi2 0.1407 0.6388 0.0000  8 Ce 3.23-3.45, 1 Bi 3.38
Bi3 0.3593 0.1388 0.0000  8 Ce 3.23-3.45, 1 Bi 3.38
Bi4 0.8593 0.3612 0.0000  8 Ce 3.23-3.45, 1 Bi 3.38
Ce10 0.6652 0.0295 0.7229  3 Bi 3.23-3.45, 3 Pb 3.24-3.37

---

The following is a PBE calculation of an optimized crystal structure of LiSi3Pd2, from the Alexandria database.

Summary:
SG   Ibam
Calculated total energy   -5.08 eV per atom

Unit cell a=5.3593 b=5.0159 c=7.9968 alpha=108.28 beta=109.58 gamma=90.00
Closest atoms and distances in Å follow each position.
Fractional coordinates of all 12 atoms:
Pd1 0.8028 0.1372 0.2744  6 Si 2.47-2.56, 1 Li 2.65
Si1 0.7815 0.5315 0.5630  4 Pd 2.47-2.56, 2 Si 2.51
Pd2 0.5283 0.3628 0.7256  6 Si 2.47-2.56, 1 Li 2.65
Li1 0.0000 0.5000 0.0000  2 Li 2.51, 2 Pd 2.65
Si2 0.7815 0.0315 0.5630  4 Pd 2.47-2.56, 2 Si 2.51
Pd3 0.1972 0.8628 0.7256  6 Si 2.47-2.56, 1 Li 2.65
Li2 0.0000 0.0000 0.0000  2 Li 2.51, 2 Pd 2.65
Si3 0.2185 0.9685 0.4370  4 Pd 2.47-2.56, 2 Si 2.51
Si4 0.2185 0.4685 0.4370  4 Pd 2.47-2.56, 2 Si 2.51
Si5 0.5000 0.7500 0.0000  4 Pd 2.48, 2 Si 2.51
Si6 0.5000 0.2500 0.0000  4 Pd 2.48, 2 Si 2.51
Pd4 0.4717 0.6372 0.2744  6 Si 2.47-2.56, 1 Li 2.65

---

The following is a PBE calculation of an optimized crystal structure of CeHoTm2N4, from the Alexandria database.

Summary:
SG   P2/m
Calculated total energy   -8.30 eV per atom

Unit cell a=3.4570 b=5.9763 c=5.9773 alpha=109.29 beta=90.00 gamma=90.00
Closest atoms and distances in Å follow each position.
Fractional coordinates of all 8 atoms:
Ho1 0.0000 0.0000 0.0000  6 N 2.45-2.46
Ce1 0.5000 0.5000 0.0000  6 N 2.44-2.47
N1 0.0000 0.2471 0.7446  3 Tm 2.42-2.43, 1 Ho 2.45, 2 Ce 2.47
N2 0.5000 0.7481 0.7475  3 Tm 2.43, 1 Ce 2.44, 2 Ho 2.46
N3 0.5000 0.2519 0.2525  3 Tm 2.43, 1 Ce 2.44, 2 Ho 2.46
N4 0.0000 0.7529 0.2554  3 Tm 2.42-2.43, 1 Ho 2.45, 2 Ce 2.47
Tm1 0.0000 0.5000 0.5000  6 N 2.43
Tm2 0.5000 0.0000 0.5000  6 N 2.42-2.43

---

The following is a PBE calculation of an optimized crystal structure of BaCd2CuPt, from the Alexandria database.

Summary:
SG   P4/mmm
Calculated total energy   -2.98 eV per atom

Unit cell a=5.2401 b=5.2401 c=5.0527 alpha=90.00 beta=90.00 gamma=90.00
Closest atoms and distances in Å follow each position.
Fractional coordinates of all 5 atoms:
Cu1 0.0000 0.0000 0.5000  2 Pt 2.53
Pt1 0.0000 0.0000 0.0000  2 Cu 2.53, 4 Cd 2.62
Cd1 0.5000 0.0000 0.0000  2 Pt 2.62
Ba1 0.5000 0.5000 0.5000  8 Cd 3.64, 4 Cu 3.71
Cd2 0.0000 0.5000 0.0000  2 Pt 2.62